VASP calculation (PBE-GGA) on an optimized crystal structure of ZnRe2Hg.

The offset from the most stable computed form comes out at 736 meV per atom.

The structure belongs to space group Fm-3m (No. 225); the cell edges are 6.3267, 6.3267 and 6.3267 Å and the angles 90.00°, 90.00° and 90.00°. The asymmetric unit holds Zn at (0.0000, 0.0000, 0.0000), Re at (0.2500, 0.2500, 0.2500) and Hg at (0.0000, 0.0000, 0.5000).

VASP calculation (PBE-GGA) on an optimized crystal structure of B2MoPRh.

The structure belongs to space group P4/mmm (No. 123); the cell edges are 3.8172, 3.8172 and 5.4118 Å and the angles 90.00°, 90.00° and 90.00°. The asymmetric unit holds B at (0.0000, 0.5000, 0.0000), Mo at (0.0000, 0.0000, 0.5000), P at (0.5000, 0.5000, 0.5000) and Rh at (0.0000, 0.0000, 0.0000).

Number 1: formation energy from the elements 95.9 kJ per mole of atoms, total energy -5.62 eV/atom. Number 2: formation energy from the elements 107.5 kJ per mole of atoms, total energy -6.28 eV/atom.